SrMoW2 (PBE-GGA, optimized geometry); space-group type = P4mm (99); magnetic moment = 0.000 μB/atom; polymorph energy (0 for the lowest one) = 42 meV per atom
1.0
3.192 0.000 0.000
0.000 3.192 0.000
0.000 0.000 8.122
Sr Mo W
1 1 2
Cartesian
0.000 0.000 0.000 Sr
1.596 1.596 5.530 Mo
0.000 0.000 4.056 W
1.596 1.596 2.563 W